(1)
# TmNi8Ge2 PBE relaxed
data_TmNi8Ge2
_symmetry_space_group_name_H-M 'P 4/m m m'
_symmetry_Int_Tables_number 123
_symmetry_space_group_name_Hall '-P 4 2'
_cell_length_a 5.7040
_cell_length_b 5.7040
_cell_length_c 4.9574
_cell_angle_alpha 90.00
_cell_angle_beta 90.00
_cell_angle_gamma 90.00
loop_
_atom_site_label
_atom_site_fract_x
_atom_site_fract_y
_atom_site_fract_z
_atom_site_occupancy
Tm1 0.0000 0.0000 0.0000 1
Ni1 0.2919 0.2919 0.2447 1
Ge1 0.0000 0.5000 0.5000 1
# Total magnetization in μB per formula unit: 0.00
# Total energy in eV per atom: -5.35
# Calculated density in g/cm3: 8.1

***

(2)
# ZrPb3C PBE relaxed
data_ZrPb3C
_symmetry_space_group_name_H-M 'P m -3 m'
_symmetry_Int_Tables_number 221
_symmetry_space_group_name_Hall '-P 4 2 3'
_cell_length_a 4.9581
_cell_length_b 4.9581
_cell_length_c 4.9581
_cell_angle_alpha 90.00
_cell_angle_beta 90.00
_cell_angle_gamma 90.00
loop_
_atom_site_label
_atom_site_fract_x
_atom_site_fract_y
_atom_site_fract_z
_atom_site_occupancy
Zr1 0.0000 0.0000 0.0000 1
Pb1 0.0000 0.5000 0.5000 1
C1 0.5000 0.5000 0.5000 1
# Excess energy over the best structure of this formula in the dataset in meV/atom: 0
# Total magnetization in μB per formula unit: 0.00
# Calculated density in g/cm3: 9.9

***

(3)
# GdTeCl PBE relaxed
data_GdTeCl
_symmetry_space_group_name_H-M 'F -4 3 m'
_symmetry_Int_Tables_number 216
_symmetry_space_group_name_Hall 'F -4 2 3'
_cell_length_a 7.1946
_cell_length_b 7.1946
_cell_length_c 7.1946
_cell_angle_alpha 90.00
_cell_angle_beta 90.00
_cell_angle_gamma 90.00
loop_
_atom_site_label
_atom_site_fract_x
_atom_site_fract_y
_atom_site_fract_z
_atom_site_occupancy
Gd1 0.0000 0.0000 0.0000 1
Te1 0.2500 0.2500 0.7500 1
Cl1 0.2500 0.2500 0.2500 1
# Total magnetization in μB per formula unit: 6.98
# Calculated density in g/cm3: 5.7
# Energy relative to the elements, uncorrected in eV per atom: -1.64

***

(4)
# RbNa6Cd4 PBE relaxed
data_RbNa6Cd4
_symmetry_space_group_name_H-M 'I -4 2 m'
_symmetry_Int_Tables_number 121
_symmetry_space_group_name_Hall 'I -4 2'
_cell_length_a 8.2473
_cell_length_b 8.2473
_cell_length_c 11.6195
_cell_angle_alpha 90.00
_cell_angle_beta 90.00
_cell_angle_gamma 90.00
loop_
_atom_site_label
_atom_site_fract_x
_atom_site_fract_y
_atom_site_fract_z
_atom_site_occupancy
Rb1 0.0000 0.0000 0.0000 1
Na1 0.0000 0.5000 0.0000 1
Na2 0.1939 0.1939 0.7114 1
Cd1 0.1580 0.1580 0.4355 1
# Total magnetization in μB per formula unit: 0.00
# Total energy in eV per atom: -1.17
# Calculated density in g/cm3: 2.8

***

(5)
# CaSmAs2Rh2 PBE relaxed
data_CaSmAs2Rh2
_symmetry_space_group_name_H-M 'P -3 m 1'
_symmetry_Int_Tables_number 164
_symmetry_space_group_name_Hall '-P 3 2"'
_cell_length_a 4.2113
_cell_length_b 4.2113
_cell_length_c 8.2407
_cell_angle_alpha 90.00
_cell_angle_beta 90.00
_cell_angle_gamma 120.00
loop_
_atom_site_label
_atom_site_fract_x
_atom_site_fract_y
_atom_site_fract_z
_atom_site_occupancy
Ca1 0.0000 0.0000 0.0000 1
Sm1 0.0000 0.0000 0.5000 1
As1 0.3333 0.6667 0.2512 1
Rh1 0.3333 0.6667 0.7430 1
# Total magnetization in μB per formula unit: 0.00
# Total energy in eV per atom: -6.07
# Calculated density in g/cm3: 7.2

***

(6)
# ScRh2Cl PBE relaxed
data_ScRh2Cl
_symmetry_space_group_name_H-M 'P 4/m m m'
_symmetry_Int_Tables_number 123
_symmetry_space_group_name_Hall '-P 4 2'
_cell_length_a 3.6378
_cell_length_b 3.6378
_cell_length_c 5.1782
_cell_angle_alpha 90.00
_cell_angle_beta 90.00
_cell_angle_gamma 90.00
loop_
_atom_site_label
_atom_site_fract_x
_atom_site_fract_y
_atom_site_fract_z
_atom_site_occupancy
Sc1 0.0000 0.0000 0.0000 1
Rh1 0.0000 0.5000 0.5000 1
Cl1 0.5000 0.5000 0.0000 1
# Excess energy over the best structure of this formula in the dataset in meV/atom: 280
# Total magnetization in μB per formula unit: 1.21
# Calculated density in g/cm3: 6.9
# Energy relative to the elements, uncorrected in eV per atom: -0.22

***

(7)
# Sc12Sn6Rh PBE relaxed
data_Sc12Sn6Rh
_symmetry_space_group_name_H-M 'R -3'
_symmetry_Int_Tables_number 148
_symmetry_space_group_name_Hall '-R 3'
_cell_length_a 12.3384
_cell_length_b 12.3384
_cell_length_c 11.3818
_cell_angle_alpha 90.00
_cell_angle_beta 90.00
_cell_angle_gamma 120.00
loop_
_atom_site_label
_atom_site_fract_x
_atom_site_fract_y
_atom_site_fract_z
_atom_site_occupancy
Sc1 0.0290 0.8426 0.3898 1
Sc2 0.0673 0.8721 0.8779 1
Sn1 0.0447 0.7574 0.6384 1
Rh1 0.0000 0.0000 0.0000 1
# Total magnetization in μB per formula unit: 0.00
# Total energy in eV per atom: -6.01
# Calculated density in g/cm3: 4.5

***

(8)
# CsCd2Hg4Pb PBE relaxed
data_CsCd2Hg4Pb
_symmetry_space_group_name_H-M 'R -3 m'
_symmetry_Int_Tables_number 166
_symmetry_space_group_name_Hall '-R 3 2"'
_cell_length_a 4.9448
_cell_length_b 4.9448
_cell_length_c 36.1943
_cell_angle_alpha 90.00
_cell_angle_beta 90.00
_cell_angle_gamma 120.00
loop_
_atom_site_label
_atom_site_fract_x
_atom_site_fract_y
_atom_site_fract_z
_atom_site_occupancy
Cs1 0.0000 0.0000 0.0000 1
Cd1 0.0000 0.0000 0.2382 1
Hg1 0.0000 0.0000 0.1254 1
Hg2 0.0000 0.0000 0.4021 1
Pb1 0.0000 0.0000 0.5000 1
# Total magnetization in μB per formula unit: 0.00
# Total energy in eV per atom: -1.04
# Calculated density in g/cm3: 8.9

***

(9)
# In2AgPt PBE relaxed
data_In2AgPt
_symmetry_space_group_name_H-M 'I -4 2 d'
_symmetry_Int_Tables_number 122
_symmetry_space_group_name_Hall 'I -4 2bw'
_cell_length_a 7.8745
_cell_length_b 7.8745
_cell_length_c 5.7263
_cell_angle_alpha 90.00
_cell_angle_beta 90.00
_cell_angle_gamma 90.00
loop_
_atom_site_label
_atom_site_fract_x
_atom_site_fract_y
_atom_site_fract_z
_atom_site_occupancy
In1 0.2151 0.2500 0.1250 1
Ag1 0.0000 0.0000 0.5000 1
Pt1 0.0000 0.0000 0.0000 1
# Excess energy over the best structure of this formula in the dataset in meV/atom: 194
# Total magnetization in μB per formula unit: 0.00
# Calculated density in g/cm3: 10.0

***

(10)
# Ba3TlPb2O9 PBE relaxed
data_Ba3TlPb2O9
_symmetry_space_group_name_H-M 'P -3 m 1'
_symmetry_Int_Tables_number 164
_symmetry_space_group_name_Hall '-P 3 2"'
_cell_length_a 6.1656
_cell_length_b 6.1656
_cell_length_c 7.5669
_cell_angle_alpha 90.00
_cell_angle_beta 90.00
_cell_angle_gamma 120.00
loop_
_atom_site_label
_atom_site_fract_x
_atom_site_fract_y
_atom_site_fract_z
_atom_site_occupancy
Ba1 0.0000 0.0000 0.0000 1
Ba2 0.3333 0.6667 0.6613 1
Tl1 0.0000 0.0000 0.5000 1
Pb1 0.3333 0.6667 0.1653 1
O1 0.0000 0.5000 0.0000 1
O2 0.1689 0.3378 0.3312 1
# Total magnetization in μB per formula unit: 0.00
# Calculated density in g/cm3: 7.8
# Energy relative to the elements, uncorrected in eV per atom: -1.53

***

(11)
# Ba3HfP PBE relaxed
data_Ba3HfP
_symmetry_space_group_name_H-M 'P m -3 m'
_symmetry_Int_Tables_number 221
_symmetry_space_group_name_Hall '-P 4 2 3'
_cell_length_a 6.2131
_cell_length_b 6.2131
_cell_length_c 6.2131
_cell_angle_alpha 90.00
_cell_angle_beta 90.00
_cell_angle_gamma 90.00
loop_
_atom_site_label
_atom_site_fract_x
_atom_site_fract_y
_atom_site_fract_z
_atom_site_occupancy
Ba1 0.0000 0.0000 0.5000 1
Hf1 0.5000 0.5000 0.5000 1
P1 0.0000 0.0000 0.0000 1
# Excess energy over the best structure of this formula in the dataset in meV/atom: 0
# Total magnetization in μB per formula unit: 4.88
# Calculated density in g/cm3: 4.3

***

(12)
# GaHgB PBE relaxed
data_GaHgB
_symmetry_space_group_name_H-M 'P 1'
_symmetry_Int_Tables_number 1
_cell_length_a 3.0703
_cell_length_b 6.0214
_cell_length_c 6.9199
_cell_angle_alpha 100.42
_cell_angle_beta 95.07
_cell_angle_gamma 103.86
loop_
_symmetry_equiv_pos_as_xyz
'x,y,z'
loop_
_atom_site_label
_atom_site_fract_x
_atom_site_fract_y
_atom_site_fract_z
_atom_site_occupancy
Ga1 0.0000 0.0000 0.0000 1
Ga2 0.1280 0.3206 0.7975 1
Hg1 0.0590 0.1630 0.3973 1
Hg2 0.7054 0.6532 0.4185 1
B1 0.3361 0.7050 0.9044 1
B2 0.7898 0.6192 0.8761 1
# Total magnetization in μB per formula unit: 0.00
# Total energy in eV per atom: -3.06
# Calculated density in g/cm3: 7.7

***

(13)
# Mg2CrAg2 PBE relaxed
data_Mg2CrAg2
_symmetry_space_group_name_H-M 'P 4/m b m'
_symmetry_Int_Tables_number 127
_symmetry_space_group_name_Hall '-P 4 2ab'
_cell_length_a 7.7539
_cell_length_b 7.7539
_cell_length_c 2.9645
_cell_angle_alpha 90.00
_cell_angle_beta 90.00
_cell_angle_gamma 90.00
loop_
_atom_site_label
_atom_site_fract_x
_atom_site_fract_y
_atom_site_fract_z
_atom_site_occupancy
Mg1 0.1686 0.3314 0.0000 1
Cr1 0.0000 0.0000 0.5000 1
Ag1 0.1318 0.6318 0.5000 1
# Excess energy over the best structure of this formula in the dataset in meV/atom: 0
# Total magnetization in μB per formula unit: 0.23
# Calculated density in g/cm3: 5.9

***

(14)
# Tb2Pm3Ge3 PBE relaxed
data_Tb2Pm3Ge3
_symmetry_space_group_name_H-M 'I m m m'
_symmetry_Int_Tables_number 71
_symmetry_space_group_name_Hall '-I 2 2'
_cell_length_a 4.0456
_cell_length_b 4.9733
_cell_length_c 20.8053
_cell_angle_alpha 90.00
_cell_angle_beta 90.00
_cell_angle_gamma 90.00
loop_
_atom_site_label
_atom_site_fract_x
_atom_site_fract_y
_atom_site_fract_z
_atom_site_occupancy
Tb1 0.0000 0.0000 0.2321 1
Pm1 0.0000 0.0000 0.0000 1
Pm2 0.0000 0.5000 0.1135 1
Ge1 0.0000 0.0000 0.5000 1
Ge2 0.0000 0.5000 0.3699 1
# Total magnetization in μB per formula unit: 0.00
# Total energy in eV per atom: -5.20
# Calculated density in g/cm3: 7.7

***

(15)
# MgTe2Ru PBE relaxed
data_MgTe2Ru
_symmetry_space_group_name_H-M 'I -4 2 d'
_symmetry_Int_Tables_number 122
_symmetry_space_group_name_Hall 'I -4 2bw'
_cell_length_a 6.4679
_cell_length_b 6.4679
_cell_length_c 11.4381
_cell_angle_alpha 90.00
_cell_angle_beta 90.00
_cell_angle_gamma 90.00
loop_
_atom_site_label
_atom_site_fract_x
_atom_site_fract_y
_atom_site_fract_z
_atom_site_occupancy
Mg1 0.0000 0.0000 0.0000 1
Te1 0.2151 0.2500 0.6250 1
Ru1 0.0000 0.0000 0.5000 1
# Total magnetization in μB per formula unit: 0.00
# Calculated density in g/cm3: 5.3
# Energy relative to the elements, uncorrected in eV per atom: -0.05

***

(16)
# LiMgCdSb PBE relaxed
data_LiMgCdSb
_symmetry_space_group_name_H-M 'F -4 3 m'
_symmetry_Int_Tables_number 216
_symmetry_space_group_name_Hall 'F -4 2 3'
_cell_length_a 7.0945
_cell_length_b 7.0945
_cell_length_c 7.0945
_cell_angle_alpha 90.00
_cell_angle_beta 90.00
_cell_angle_gamma 90.00
loop_
_atom_site_label
_atom_site_fract_x
_atom_site_fract_y
_atom_site_fract_z
_atom_site_occupancy
Li1 0.0000 0.0000 0.0000 1
Mg1 0.0000 0.0000 0.5000 1
Cd1 0.2500 0.2500 0.2500 1
Sb1 0.2500 0.2500 0.7500 1
# Total magnetization in μB per formula unit: 0.00
# Calculated density in g/cm3: 4.9
# Energy relative to the elements, uncorrected in eV per atom: -0.28

***

(17)
# HgBi3Te PBE relaxed
data_HgBi3Te
_symmetry_space_group_name_H-M 'P m -3 m'
_symmetry_Int_Tables_number 221
_symmetry_space_group_name_Hall '-P 4 2 3'
_cell_length_a 5.9301
_cell_length_b 5.9301
_cell_length_c 5.9301
_cell_angle_alpha 90.00
_cell_angle_beta 90.00
_cell_angle_gamma 90.00
loop_
_atom_site_label
_atom_site_fract_x
_atom_site_fract_y
_atom_site_fract_z
_atom_site_occupancy
Hg1 0.0000 0.0000 0.0000 1
Bi1 0.0000 0.5000 0.5000 1
Te1 0.5000 0.5000 0.5000 1
# Excess energy over the best structure of this formula in the dataset in meV/atom: 0
# Total magnetization in μB per formula unit: 0.00
# Calculated density in g/cm3: 7.6
# Energy relative to the elements, uncorrected in eV per atom: 0.66

***

(18)
# MnSi2Br PBE relaxed
data_MnSi2Br
_symmetry_space_group_name_H-M 'P 4/m m m'
_symmetry_Int_Tables_number 123
_symmetry_space_group_name_Hall '-P 4 2'
_cell_length_a 3.6129
_cell_length_b 3.6129
_cell_length_c 6.0598
_cell_angle_alpha 90.00
_cell_angle_beta 90.00
_cell_angle_gamma 90.00
loop_
_atom_site_label
_atom_site_fract_x
_atom_site_fract_y
_atom_site_fract_z
_atom_site_occupancy
Mn1 0.0000 0.0000 0.0000 1
Si1 0.0000 0.5000 0.5000 1
Br1 0.5000 0.5000 0.0000 1
# Excess energy over the best structure of this formula in the dataset in meV/atom: 483
# Total magnetization in μB per formula unit: 4.39
# Calculated density in g/cm3: 4.0
# Energy relative to the elements, uncorrected in eV per atom: 0.53

***

(19)
# Mn2Nb2Sb PBE relaxed
data_Mn2Nb2Sb
_symmetry_space_group_name_H-M 'P 4/m b m'
_symmetry_Int_Tables_number 127
_symmetry_space_group_name_Hall '-P 4 2ab'
_cell_length_a 6.8789
_cell_length_b 6.8789
_cell_length_c 3.4965
_cell_angle_alpha 90.00
_cell_angle_beta 90.00
_cell_angle_gamma 90.00
loop_
_atom_site_label
_atom_site_fract_x
_atom_site_fract_y
_atom_site_fract_z
_atom_site_occupancy
Mn1 0.1198 0.3802 0.0000 1
Nb1 0.1784 0.6784 0.5000 1
Sb1 0.0000 0.0000 0.0000 1
# Excess energy over the best structure of this formula in the dataset in meV/atom: 0
# Total magnetization in μB per formula unit: 3.81
# Calculated density in g/cm3: 8.4
# Energy relative to the elements, uncorrected in eV per atom: 0.11

***

(20)
# RbLiLa2Se4 PBE relaxed
data_RbLiLa2Se4
_symmetry_space_group_name_H-M 'C m c m'
_symmetry_Int_Tables_number 63
_symmetry_space_group_name_Hall '-C 2c 2'
_cell_length_a 4.4251
_cell_length_b 14.7898
_cell_length_c 15.1062
_cell_angle_alpha 90.00
_cell_angle_beta 90.00
_cell_angle_gamma 90.00
loop_
_atom_site_label
_atom_site_fract_x
_atom_site_fract_y
_atom_site_fract_z
_atom_site_occupancy
Rb1 0.0000 0.1068 0.2500 1
Li1 0.0000 0.1648 0.7500 1
La1 0.0000 0.3663 0.0603 1
Se1 0.0000 0.0000 0.0000 1
Se2 0.0000 0.2604 0.6094 1
Se3 0.0000 0.4232 0.2500 1
# Total magnetization in μB per formula unit: 0.00
# Calculated density in g/cm3: 4.6
# Energy relative to the elements, uncorrected in eV per atom: -1.79